Record 1
# LaGa6Ni

A relaxed structure of LaGa6Ni (PBE-GGA, OQMD via LeMat-Bulk).

Unit cell a=6.4397 b=6.4397 c=4.2364 alpha=90.00 beta=90.00 gamma=120.00
Space group P-6m2 (No. 187)
Asymmetric unit:
La  0.0000  0.0000  0.0000 (multiplicity 1)
Ga  0.0485  0.5243  0.0000 (multiplicity 3)
Ga  0.3899  0.1950  0.5000 (multiplicity 3)
Ni  0.3333  0.6667  0.5000 (multiplicity 1)

For the calculated volume, the calculation gives 19.02 Å³/atom. As for the theoretical density: 6.72 g/cm³. The uncorrected energy is -3.76 eV/atom.

***

Record 2
# La2Ga12Ni

A relaxed structure of La2Ga12Ni (PBE-GGA, OQMD via LeMat-Bulk).

Unit cell a=6.091 b=6.091 c=15.604 alpha=90.00 beta=90.00 gamma=90.00
Space group P4/nbm (No. 125, origin choice 2)
Asymmetric unit:
La  0.250  0.750  0.244 (multiplicity 4)
Ga  0.000  0.000  0.083 (multiplicity 8)
Ga  0.069  0.569  0.428 (multiplicity 8)
Ga  0.250  0.250  0.180 (multiplicity 4)
Ga  0.250  0.250  0.339 (multiplicity 4)
Ni  0.250  0.750  0.000 (multiplicity 2)

For the calculated volume, the calculation gives 19.30 Å³/atom. As for the theoretical density: 6.73 g/cm³. The uncorrected energy is -3.89 eV/atom.